MgZn5Au8, relaxed, DFT PBE; density of states at the Fermi level = 0.35 states/eV/atom; space-group type = No. 82; energy of formation from the pure elements = -0.1812 eV per atom; magnetization = 0.0 Bohr magnetons per cell
1.0
-3.9446 3.9446 4.0133
3.9446 -3.9446 4.0133
3.9446 3.9446 -4.0133
Mg Zn Au
1 5 8
Cartesian
0.0000 0.0000 0.0000
4.9527 1.7657 -1.2482
3.9446 0.0000 2.0066
1.7657 2.9366 1.2482
-1.0080 2.1789 2.7651
2.1789 1.0080 5.2615
2.6699 0.7820 -0.1576
2.6231 3.3935 -1.4785
3.1626 -1.2747 4.1709
1.3216 0.5512 2.5348
4.4958 2.6231 1.4785
0.7820 5.2193 0.1576
-0.5512 1.3216 5.4917
1.2747 3.1626 3.8557

=====

Mg2ZnAu6, relaxed, DFT PBE; density of states at the Fermi level = 0.26 states/eV/atom; space-group type = No. 136; energy above the most stable polymorph in this dataset = 0.0 kJ per mole of atoms; energy of formation from the pure elements = -0.3822 eV per atom; magnetization = 0.0 Bohr magnetons per cell
1.0
8.6380 0.0000 0.0000
0.0000 8.6380 0.0000
0.0000 0.0000 4.2091
Mg Zn Au
4 2 12
Cartesian
1.6307 1.6307 0.0000
2.6883 5.9497 2.1045
5.9497 2.6883 2.1045
7.0073 7.0073 0.0000
0.0000 0.0000 2.1045
4.3190 4.3190 0.0000
0.1259 2.8146 2.1045
1.2074 7.4306 0.0000
1.5044 4.4449 0.0000
2.8146 0.1259 2.1045
3.1116 3.1116 2.1045
4.1931 7.1336 0.0000
4.4449 1.5044 0.0000
5.5264 5.5264 2.1045
5.8234 8.5121 2.1045
7.1336 4.1931 0.0000
7.4306 1.2074 0.0000
8.5121 5.8234 2.1045

=====

Mg4Zn2Au, relaxed, DFT PBE; density of states at the Fermi level = 0.48 states/eV/atom; space-group type = No. 166; energy of formation from the pure elements = -0.1844 eV per atom; magnetization = 0.0 Bohr magnetons per cell
1.0
2.3060 1.3314 7.5238
-2.3060 1.3314 7.5238
0.0000 -2.6628 7.5238
Mg Zn Au
4 2 1
Cartesian
0.0000 0.0000 2.7753
0.0000 0.0000 8.4202
0.0000 0.0000 14.1512
0.0000 0.0000 19.7961
0.0000 0.0000 5.6456
0.0000 0.0000 16.9259
0.0000 0.0000 11.2857

=====

Mg4ZnAu, relaxed, DFT PBE; density of states at the Fermi level = 0.37 states/eV/atom; space-group type = No. 97; energy above the most stable polymorph in this dataset = 0.0 kJ per mole of atoms; energy of formation from the pure elements = -0.2748 eV per atom; magnetization = 0.0 Bohr magnetons per cell
1.0
-3.3327 3.3327 2.7140
3.3327 -3.3327 2.7140
3.3327 3.3327 -2.7140
Mg Zn Au
4 1 1
Cartesian
2.2349 -1.0977 1.3570
4.4304 1.0977 1.3570
1.0977 2.2349 1.3570
-1.0977 4.4304 1.3570
0.0000 0.0000 0.0000
0.0000 0.0000 2.7140

=====

MgZn3Au4, relaxed, DFT PBE; density of states at the Fermi level = 0.20 states/eV/atom; space-group type = No. 51; energy of formation from the pure elements = -0.3158 eV per atom; magnetization = 0.0 Bohr magnetons per cell
1.0
9.0635 0.0000 0.0000
0.0000 6.4669 0.0000
0.0000 0.0000 4.5317
Mg Zn Au
2 6 8
Cartesian
0.0000 0.0000 0.0000
4.5317 0.0000 0.0000
0.0000 3.2334 0.0000
2.2659 0.0000 2.2521
2.2659 3.2334 2.2503
4.5317 3.2334 0.0000
6.7976 0.0000 2.2796
6.7976 3.2334 2.2814
0.0000 1.6499 2.2658
0.0000 4.8169 2.2658
2.2659 1.6510 4.5164
2.2659 4.8159 4.5164
4.5317 1.6499 2.2658
4.5317 4.8169 2.2658
6.7976 1.6510 0.0153
6.7976 4.8159 0.0153

=====

MgZnAu, relaxed, DFT PBE; density of states at the Fermi level = 0.25 states/eV/atom; space-group type = No. 12; energy of formation from the pure elements = -0.3666 eV per atom; magnetization = 0.0 Bohr magnetons per cell
1.0
3.7114 -3.9425 0.0000
3.7114 3.9425 0.0000
-2.7237 0.0000 3.6029
Mg Zn Au
2 2 2
Cartesian
1.1625 0.0000 0.8917
3.5367 0.0000 2.7112
3.7114 1.2720 0.0000
3.7114 -1.2720 0.0000
2.3496 2.5419 1.8014
2.3496 -2.5419 1.8014